GdTmAl2Ni4 (PBE-GGA, relaxed); volume = 16.42 Å³ per atom; uncorrected energy = -5.453 eV per atom; space-group type = No. 187; total magnetic moment = 0.000 μB per atom
1.0
4.1362 0.0000 0.0000
-2.0681 3.5821 0.0000
0.0000 0.0000 8.8659
Al Gd Ni Tm
2 1 4 1
Cartesian
0.0000 0.0000 2.2685 Al
0.0000 0.0000 6.5974 Al
2.0681 1.1940 0.0000 Gd
0.0000 2.3880 7.1605 Ni
2.0681 1.1940 2.8324 Ni
2.0681 1.1940 6.0335 Ni
0.0000 2.3880 1.7054 Ni
0.0000 2.3880 4.4329 Tm